1.
Here is Pm3Be2ZnPt9 after structural relaxation from the Alexandria database. Energies are from GGA-PBE.

For the formation energy, the calculation gives -726 meV/atom. As for the total energy: -88.2 eV/cell. For the volume, the calculation gives 18.28 Å³ per atom.

It has space group P-3m1 (No. 164), with a = 6.7721 Å, b = 6.7721 Å, c = 6.9047 Å, α = 90.00°, β = 90.00° and γ = 120.00°. The asymmetric unit holds Pm at (0.0000, 0.0000, 0.0000), Pm at (0.3333, 0.6667, 0.6719), Be at (0.3333, 0.6667, 0.1393), Zn at (0.0000, 0.0000, 0.5000), Pt at (0.0000, 0.5000, 0.0000) and Pt at (0.1828, 0.3655, 0.3289).

2.
Here is Pu2HgOs after structural relaxation from the Alexandria database. Energies are from GGA-PBE.

For the energy above the lowest structure with this stoichiometry, the calculation gives 433.9 meV per atom. For the formation energy, the calculation gives 296 meV/atom. As for the total energy: -117.0 eV/cell. For the volume, the calculation gives 24.33 Å³ per atom.

It has space group R-3m (No. 166, hexagonal axes), with a = 3.2314 Å, b = 3.2314 Å, c = 32.2822 Å, α = 90.00°, β = 90.00° and γ = 120.00°. The asymmetric unit holds Pu at (0.0000, 0.0000, 0.1001), Hg at (0.0000, 0.0000, 0.0000) and Os at (0.0000, 0.0000, 0.5000).

3.
Here is Al2Zn5Ga12 after structural relaxation from the Alexandria database. Energies are from GGA-PBE.

For the formation energy, the calculation gives 75 meV/atom. As for the total energy: -97.5 eV/cell. For the volume, the calculation gives 19.23 Å³ per atom.

It has space group C2/m (No. 12), with a = 15.865 Å, b = 6.161 Å, c = 8.644 Å, α = 90.00°, β = 120.15° and γ = 90.00°. The asymmetric unit holds Al at (0.000, 0.231, 0.000), Zn at (0.000, 0.500, 0.500), Zn at (0.149, 0.000, 0.021), Zn at (0.165, 0.000, 0.564), Ga at (0.015, 0.000, 0.678), Ga at (0.046, 0.500, 0.269), Ga at (0.175, 0.286, 0.812) and Ga at (0.188, 0.226, 0.314).

4.
Here is CaAsP after structural relaxation from the Alexandria database. Energies are from GGA-PBE.

For the energy above the lowest structure with this stoichiometry, the calculation gives 200.8 meV per atom. For the formation energy, the calculation gives -524 meV/atom. As for the total energy: -13.6 eV/cell. For the volume, the calculation gives 22.42 Å³ per atom.

It has space group P3m1 (No. 156), with a = 4.3120 Å, b = 4.3120 Å, c = 4.1775 Å, α = 90.00°, β = 90.00° and γ = 120.00°. The asymmetric unit holds Ca at (0.0000, 0.0000, 0.0000), As at (0.3333, 0.6667, 0.4586) and P at (0.6667, 0.3333, 0.5720).